# CeNd4Mg, relaxed, DFT PBE
data_CeNd4Mg
_symmetry_space_group_name_H-M 'P 1'
_symmetry_Int_Tables_number 1
_cell_length_a 3.6278
_cell_length_b 3.6278
_cell_length_c 14.7599
_cell_angle_alpha 90.00
_cell_angle_beta 90.00
_cell_angle_gamma 90.00
loop_
_symmetry_equiv_pos_as_xyz
'x,y,z'
loop_
_atom_site_label
_atom_site_type_symbol
_atom_site_fract_x
_atom_site_fract_y
_atom_site_fract_z
Ce1 Ce 0.0000 0.0000 0.0000
Nd1 Nd 0.0000 0.0000 0.3480
Nd2 Nd 0.0000 0.0000 0.6520
Nd3 Nd 0.5000 0.5000 0.1682
Nd4 Nd 0.5000 0.5000 0.8318
Mg1 Mg 0.5000 0.5000 0.5000
# energy of formation: 0.0157 eV/atom
# magnetic moment: 0.722 μB per formula unit
# E: -4.4176 eV per atom